Entry from Alexandria via LeMat-Bulk: La7Pr3Tl after structural relaxation (PBE).

Cell and atoms, written as POSCAR:
```
La7Pr3Tl
1.0
8.8608 0.0000 0.0000
0.0000 7.2430 0.0000
0.0000 -3.6215 6.2726
La Pr Tl
7 3 1
direct
0.1243 0.1707 0.8293
0.4457 0.3381 0.1691
0.4457 0.8309 0.1691
0.1243 0.6587 0.8293
0.4457 0.8309 0.6619
0.1243 0.1707 0.3413
0.1109 0.6667 0.3333
0.7795 0.9989 0.4994
0.7795 0.5006 0.4994
0.7795 0.5006 0.0011
0.4559 0.3333 0.6667
```

Results
energy of formation from the pure elements = 0.0806 eV/atom
magnetization = 0.00 μB/cell
crystal system = trigonal